## MgV2Tc (PBE)

Data for an optimized crystal structure of MgV2Tc.

The value obtained for the formation energy is 54 kJ/mol of atoms. Its total DFT energy (no corrections) is -6.99 eV per atom. The magnetization is 0.0 μB per formula unit. Its volume is 16.49 Å³/atom. Its density of states at the Fermi level is 0.963 states/eV per atom.

The structure belongs to space group I-42d (No. 122); the cell edges are 7.0323, 7.0323 and 5.3344 Å and the angles 90.00°, 90.00° and 90.00°. The distinct sites, in fractional coordinates, are Mg at (0.0000, 0.0000, 0.0000), V at (0.2066, 0.2500, 0.6250) and Tc at (0.0000, 0.0000, 0.5000).

***

## Mg3VTc (PBE)

Data for an optimized crystal structure of Mg3VTc.

The value obtained for the formation energy is 148 kJ/mol of atoms. Its total DFT energy (no corrections) is -3.32 eV per atom. The magnetization is 6.7 μB per formula unit. Its volume is 23.95 Å³/atom. Its density of states at the Fermi level is 1.001 states/eV per atom. The value obtained for the excess energy over the best structure of this formula in the dataset is 430 meV per atom.

The structure belongs to space group Pm-3m (No. 221); the cell edges are 4.9287, 4.9287 and 4.9287 Å and the angles 90.00°, 90.00° and 90.00°. The distinct sites, in fractional coordinates, are Mg at (0.0000, 0.0000, 0.5000), V at (0.0000, 0.0000, 0.0000) and Tc at (0.5000, 0.5000, 0.5000).